[1]
A plane-wave DFT calculation with PBE was carried out for an optimized crystal structure of PmThH2.

- energy above the lowest structure with this stoichiometry (kJ per mole of atoms) = 0.0

Unit cell a=6.315 b=6.315 c=6.315 alpha=33.32 beta=33.32 gamma=33.32
Atoms (fractional coordinates):
Pm  0.000  0.000  0.000
Th  0.500  0.500  0.500
H  0.248  0.248  0.248
H  0.752  0.752  0.752

=====

[2]
A plane-wave DFT calculation with PBE was carried out for an optimized crystal structure of Pm4ThH10.

- E_tot (eV/atom) = -4.637

Unit cell a=15.852 b=15.852 c=15.852 alpha=13.86 beta=13.86 gamma=13.86
Atoms (fractional coordinates):
Pm  0.099  0.099  0.099
Pm  0.300  0.300  0.300
Pm  0.700  0.700  0.700
Pm  0.901  0.901  0.901
Th  0.500  0.500  0.500
H  0.050  0.050  0.050
H  0.150  0.150  0.150
H  0.250  0.250  0.250
H  0.350  0.350  0.350
H  0.450  0.450  0.450
H  0.550  0.550  0.550
H  0.650  0.650  0.650
H  0.750  0.750  0.750
H  0.850  0.850  0.850
H  0.950  0.950  0.950

=====

[3]
A plane-wave DFT calculation with PBE was carried out for an optimized crystal structure of PmTh3H.

- E_tot (eV/atom) = -6.123

Unit cell a=5.106 b=5.106 c=5.106 alpha=90.00 beta=90.00 gamma=90.00
Atoms (fractional coordinates):
Pm  0.000  0.000  0.000
Th  0.000  0.500  0.500
Th  0.500  0.000  0.500
Th  0.500  0.500  0.000
H  0.500  0.500  0.500

=====

[4]
A plane-wave DFT calculation with PBE was carried out for an optimized crystal structure of PmTh2H.

- E_tot (eV/atom) = -5.664

Unit cell a=10.045 b=10.045 c=10.045 alpha=19.87 beta=19.87 gamma=19.87
Atoms (fractional coordinates):
Pm  0.000  0.000  0.000
Th  0.114  0.114  0.114
Th  0.886  0.886  0.886
H  0.500  0.500  0.500

=====

[5]
A plane-wave DFT calculation with PBE was carried out for an optimized crystal structure of PmThH2.

- energy above the lowest structure with this stoichiometry (kJ per mole of atoms) = 10.4

Unit cell a=6.632 b=6.632 c=6.632 alpha=30.77 beta=30.77 gamma=30.77
Atoms (fractional coordinates):
Pm  0.000  0.000  0.000
Th  0.826  0.826  0.826
H  0.410  0.410  0.410
H  0.586  0.586  0.586

=====

[6]
A plane-wave DFT calculation with PBE was carried out for an optimized crystal structure of PmTi2H.

- E_tot (eV/atom) = -5.802

Unit cell a=8.388 b=8.388 c=8.388 alpha=21.14 beta=21.14 gamma=21.14
Atoms (fractional coordinates):
Pm  0.000  0.000  0.000
Ti  0.121  0.121  0.121
Ti  0.879  0.879  0.879
H  0.500  0.500  0.500

=====

| no. | ρ (Mg/m³) |
| --- | --- |
| 1 | 9.30 |
| 2 | 6.86 |
| 3 | 10.50 |
| 4 | 9.89 |
| 5 | 9.30 |
| 6 | 5.97 |